Entry 1:
Compound: KMnCuPt2
Source: the Alexandria database
Functional: PBE-GGA
Structure: optimized geometry

Results
M_tot, μB/cell: 0.00
Uncorrected energy, eV/atom: -4.131
Formation enthalpy at 0 K, eV/atom: 1.1575
Theoretical density, g/cm³: 8.17

abc: 4.5892 4.5892 5.2888
angles: 90.00 90.00 90.00
Closest atoms and distances in Å follow each position.
Space group P4/mmm (No. 123)
Symmetry-distinct sites (fractional):
K: 0.0000 0.0000 0.0000 x1  2 Mn 2.64
Mn: 0.0000 0.0000 0.5000 x1  4 Pt 2.29
Cu: 0.5000 0.5000 0.0000 x1  4 K 3.25, 8 Pt 3.50
Pt: 0.0000 0.5000 0.5000 x2  2 Mn 2.29

=====

Entry 2:
Compound: K2MnCuS4
Source: the Alexandria database
Functional: PBE-GGA
Structure: optimized geometry

Results
Formation energy (no corrections), eV/atom: -0.772
M_tot, μB/cell: 15.99
Uncorrected energy, eV/atom: -4.768
Theoretical density, g/cm³: 2.69

abc: 5.4627 12.9190 22.7781
angles: 90.00 90.00 90.00
Closest atoms and distances in Å follow each position.
Space group Fddd (No. 70, origin choice 2)
Symmetry-distinct sites (fractional):
K: 0.1250 0.1250 0.3047 x16  8 S 3.31-3.50
Mn: 0.1250 0.1250 0.6250 x8  4 S 2.14
Cu: 0.1250 0.1250 0.1250 x8  4 S 2.29
S: 0.1038 0.2792 0.8211 x32  1 Mn 2.14, 1 Cu 2.29

=====

Entry 3:
Compound: KMnCu2S4
Source: the Alexandria database
Functional: PBE-GGA
Structure: optimized geometry

Results
Formation energy (no corrections), eV/atom: -0.458
M_tot, μB/cell: 3.93
Uncorrected energy, eV/atom: -4.830
Theoretical density, g/cm³: 3.48

abc: 5.9522 5.9522 9.4185
angles: 90.00 90.00 90.00
Closest atoms and distances in Å follow each position.
Space group I-42m (No. 121)
Symmetry-distinct sites (fractional):
K: 0.0000 0.0000 0.0000 x2  4 S 2.95
Mn: 0.0000 0.0000 0.5000 x2  4 S 2.17
Cu: 0.0000 0.5000 0.2500 x4  4 S 2.35
S: 0.1934 0.1934 0.6517 x8  1 Mn 2.17, 2 Cu 2.35

=====

Entry 4:
Compound: K2MnCu2S4
Source: the Alexandria database
Functional: PBE-GGA
Structure: optimized geometry

Results
Formation energy (no corrections), eV/atom: -0.669
M_tot, μB/cell: 6.34
Uncorrected energy, eV/atom: -4.677
Theoretical density, g/cm³: 3.58

abc: 13.9086 3.7309 7.3693
angles: 90.00 109.54 90.00
Closest atoms and distances in Å follow each position.
Space group C2/m (No. 12)
Symmetry-distinct sites (fractional):
K: 0.1340 0.0000 0.0599 x4  7 S 3.19-3.30, 3 Cu 3.48-3.50, 1 K 3.53
Mn: 0.0000 0.0000 0.5000 x2  6 S 2.48-2.49
Cu: 0.1826 0.5000 0.4830 x4  4 S 2.28-2.43
S: 0.0156 0.5000 0.2892 x4  1 Cu 2.28, 2 Mn 2.48
S: 0.1877 0.0000 0.6710 x4  3 Cu 2.31-2.43, 1 Mn 2.49

=====

Entry 5:
Compound: KMnCuS2
Source: the Alexandria database
Functional: PBE-GGA
Structure: optimized geometry

Results
Formation energy (no corrections), eV/atom: -0.692
M_tot, μB/cell: 20.00
Uncorrected energy, eV/atom: -5.216
Theoretical density, g/cm³: 3.22

abc: 6.1448 13.7106 5.4305
angles: 90.00 90.00 90.00
Closest atoms and distances in Å follow each position.
Space group Cmme (No. 67)
Symmetry-distinct sites (fractional):
K: 0.0000 0.2500 0.2335 x4  8 S 3.25-3.63
Mn: 0.2500 0.0000 0.5000 x4  4 S 2.46
Cu: 0.0000 0.0000 0.0000 x4  2 S 2.16
S: 0.0000 0.1103 0.7169 x8  1 Cu 2.16

=====

Entry 6:
Compound: KMnCuSe3
Source: the Alexandria database
Functional: PBE-GGA
Structure: optimized geometry

Results
Formation energy (no corrections), eV/atom: -0.609
M_tot, μB/cell: 6.11
Uncorrected energy, eV/atom: -4.745
Theoretical density, g/cm³: 4.67

abc: 8.4355 3.8004 9.4739
angles: 90.00 112.48 90.00
Closest atoms and distances in Å follow each position.
Space group P2_1/m (No. 11)
Symmetry-distinct sites (fractional):
K: 0.2320 0.2500 0.2691 x2  7 Se 3.35-3.55
Mn: 0.3176 0.7500 0.8465 x2  6 Se 2.51-2.55
Cu: 0.0754 0.2500 0.5984 x2  4 Se 2.43-2.52, 2 Cu 2.63
Se: 0.1272 0.2500 0.8685 x2  1 Cu 2.43, 2 Mn 2.55
Se: 0.2409 0.7500 0.5635 x2  3 Cu 2.45-2.52, 1 Mn 2.51
Se: 0.4727 0.7500 0.1326 x2  3 Mn 2.52-2.55

=====

Entry 7:
Compound: KMnCuSe2
Source: the Alexandria database
Functional: PBE-GGA
Structure: optimized geometry

Results
Formation energy (no corrections), eV/atom: -0.603
M_tot, μB/cell: 10.00
Uncorrected energy, eV/atom: -4.869
Theoretical density, g/cm³: 4.09

abc: 7.7407 5.7051 6.2948
angles: 90.00 112.90 90.00
Closest atoms and distances in Å follow each position.
Space group P2/c (No. 13)
Symmetry-distinct sites (fractional):
K: 0.0000 0.2321 0.2500 x2  8 Se 3.39-3.76
Mn: 0.5000 0.4977 0.2500 x2  4 Se 2.59
Cu: 0.5000 0.0000 0.0000 x2  2 Se 2.28
Se: 0.2719 0.2804 0.8895 x4  1 Cu 2.28

=====

Entry 8:
Compound: KMnCu2Se4
Source: the Alexandria database
Functional: PBE-GGA
Structure: optimized geometry

Results
Formation energy (no corrections), eV/atom: -0.370
M_tot, μB/cell: 3.91
Uncorrected energy, eV/atom: -4.419
Theoretical density, g/cm³: 4.48

abc: 6.2067 6.2067 10.3398
angles: 90.00 90.00 90.00
Closest atoms and distances in Å follow each position.
Space group I-42m (No. 121)
Symmetry-distinct sites (fractional):
K: 0.0000 0.0000 0.0000 x2  4 Se 3.11
Mn: 0.0000 0.0000 0.5000 x2  4 Se 2.34
Cu: 0.0000 0.5000 0.2500 x4  4 Se 2.46
Se: 0.1952 0.1952 0.3460 x8  1 Mn 2.34, 2 Cu 2.46